Material: Be2InSiNi
Method: DFT, PBE
State: optimized geometry

Values from the calculation:
Spin magnetization: 0.00 μB/atom
Density of states at the Fermi level: 1.69 states/eV per cell
E_form (uncorrected): 0.342 eV per atom

Unit cell a=4.2471 b=4.2471 c=4.2773 alpha=90.00 beta=90.00 gamma=90.00
Last column: nearest neighbours and their distance in Å.
Fractional positions:
Be (0.0000, 0.5000, 0.0000)  2 Ni 2.12
Be (0.5000, 0.0000, 0.0000)  2 Ni 2.12
In (0.0000, 0.0000, 0.5000)  4 Si 3.00, 8 Be 3.01
Si (0.5000, 0.5000, 0.5000)  2 Ni 2.14
Ni (0.5000, 0.5000, 0.0000)  4 Be 2.12, 2 Si 2.14